6
Lattice="-3.693 0.640 -0.250 -2.204 0.114 4.557 -1.094 4.993 0.771" Properties=species:S:1:pos:R:3 comment="MgCoP, relaxed, DFT PBE" sg="C2/m (12)" volume_a3_per_atom=14.05 total_energy_ry_per_atom=-0.380 dos_at_fermi_per_ev_atom=0.4874 delta_e_f_ev_per_atom=-0.466 pbc="T T T"
P -3.375 1.134 3.647
P -4.711 4.254 3.167
Mg -4.512 4.344 0.529
Mg -1.369 0.936 1.728
Co -5.114 2.324 4.157
Co -2.972 3.063 2.659

---

12
Lattice="5.989 0.000 0.000 -2.994 5.186 0.000 0.000 0.000 8.271" Properties=species:S:1:pos:R:3 comment="Pr2PuRh3, relaxed, DFT PBE" sg="P6_3/mmc (194)" volume_a3_per_atom=21.41 total_energy_ry_per_atom=-0.604 dos_at_fermi_per_ev_atom=1.5251 delta_e_f_ev_per_atom=-0.563 pbc="T T T"
Pr 2.994 1.729 0.511
Pr 2.994 1.729 3.625
Pr 0.000 3.458 7.761
Pr 0.000 3.458 4.646
Rh 2.994 3.374 6.203
Rh 1.570 0.906 6.203
Rh -1.424 4.280 2.068
Rh 1.424 4.280 2.068
Rh 4.419 0.906 6.203
Rh 0.000 1.813 2.068
Pu 0.000 0.000 0.000
Pu 0.000 0.000 4.136

---

Repeat the second record exactly.
12
Lattice="5.989 0.000 0.000 -2.994 5.186 0.000 0.000 0.000 8.271" Properties=species:S:1:pos:R:3 comment="Pr2PuRh3, relaxed, DFT PBE" sg="P6_3/mmc (194)" volume_a3_per_atom=21.41 total_energy_ry_per_atom=-0.604 dos_at_fermi_per_ev_atom=1.5251 delta_e_f_ev_per_atom=-0.563 pbc="T T T"
Pr 2.994 1.729 0.511
Pr 2.994 1.729 3.625
Pr 0.000 3.458 7.761
Pr 0.000 3.458 4.646
Rh 2.994 3.374 6.203
Rh 1.570 0.906 6.203
Rh -1.424 4.280 2.068
Rh 1.424 4.280 2.068
Rh 4.419 0.906 6.203
Rh 0.000 1.813 2.068
Pu 0.000 0.000 0.000
Pu 0.000 0.000 4.136

---

Please write out number 1 again, unchanged.
6
Lattice="-3.693 0.640 -0.250 -2.204 0.114 4.557 -1.094 4.993 0.771" Properties=species:S:1:pos:R:3 comment="MgCoP, relaxed, DFT PBE" sg="C2/m (12)" volume_a3_per_atom=14.05 total_energy_ry_per_atom=-0.380 dos_at_fermi_per_ev_atom=0.4874 delta_e_f_ev_per_atom=-0.466 pbc="T T T"
P -3.375 1.134 3.647
P -4.711 4.254 3.167
Mg -4.512 4.344 0.529
Mg -1.369 0.936 1.728
Co -5.114 2.324 4.157
Co -2.972 3.063 2.659